[1]
Below is DyFe4Ag after structural relaxation, with properties calculated at the PBE level.

Computed properties:
Fermi-level density of states: 21.084 states/eV per cell
Formation enthalpy at 0 K: 0.04 eV per atom
Total energy: -6.843 eV/atom

Cell and atoms, written as CIF:
```
data_DyFe4Ag
_chemical_formula_sum 'Dy4 Fe16 Ag4'
_cell_length_a 7.134
_cell_length_b 7.134
_cell_length_c 7.134
_cell_angle_alpha 90.00
_cell_angle_beta 90.00
_cell_angle_gamma 90.00
_space_group_name_H-M_alt 'F -4 3 m'
_space_group_IT_number 216
_space_group_name_Hall 'F -4 2 3'
loop_
_atom_site_label
_atom_site_type_symbol
_atom_site_fract_x
_atom_site_fract_y
_atom_site_fract_z
Dy1 Dy 0.000 0.000 0.000
Fe1 Fe 0.125 0.125 0.625
Ag1 Ag 0.250 0.250 0.250
```

[2]
Below is Dy5Fe2Ag after structural relaxation, with properties calculated at the PBE level.

Computed properties:
Fermi-level density of states: 34.863 states/eV per cell
Formation enthalpy at 0 K: -0.09 eV per atom
Total energy: -5.434 eV/atom

Cell and atoms, written as CIF:
```
data_Dy5Fe2Ag
_chemical_formula_sum 'Dy20 Fe8 Ag4'
_cell_length_a 7.385
_cell_length_b 7.385
_cell_length_c 14.140
_cell_angle_alpha 90.00
_cell_angle_beta 90.00
_cell_angle_gamma 90.00
_space_group_name_H-M_alt 'I 4/m c m'
_space_group_IT_number 140
_space_group_name_Hall '-I 4 2c'
loop_
_atom_site_label
_atom_site_type_symbol
_atom_site_fract_x
_atom_site_fract_y
_atom_site_fract_z
Dy1 Dy 0.000 0.000 0.000
Dy2 Dy 0.173 0.327 0.136
Fe1 Fe 0.108 0.392 0.500
Ag1 Ag 0.000 0.000 0.250
```

[3]
Below is Dy4FeAg after structural relaxation, with properties calculated at the PBE level.

Computed properties:
Fermi-level density of states: 25.086 states/eV per cell
Formation enthalpy at 0 K: -0.11 eV per atom
Total energy: -5.067 eV/atom

Cell and atoms, written as CIF:
```
data_Dy4FeAg
_chemical_formula_sum 'Dy16 Fe4 Ag4'
_cell_length_a 8.461
_cell_length_b 12.329
_cell_length_c 6.083
_cell_angle_alpha 90.00
_cell_angle_beta 105.60
_cell_angle_gamma 90.00
_space_group_name_H-M_alt 'C 1 2/c 1'
_space_group_IT_number 15
loop_
_space_group_symop_operation_xyz
'x,y,z'
'-x,-y,-z'
'-x,y,-z+1/2'
'x,-y,z+1/2'
'x+1/2,y+1/2,z'
'-x+1/2,-y+1/2,-z'
'-x+1/2,y+1/2,-z+1/2'
'x+1/2,-y+1/2,z+1/2'
loop_
_atom_site_label
_atom_site_type_symbol
_atom_site_fract_x
_atom_site_fract_y
_atom_site_fract_z
Dy1 Dy 0.103 0.166 0.038
Dy2 Dy 0.211 0.420 0.406
Fe1 Fe 0.000 0.002 0.250
Ag1 Ag 0.000 0.372 0.750
```

[4]
Below is DyLuFeAg after structural relaxation, with properties calculated at the PBE level.

Computed properties:
Fermi-level density of states: 10.744 states/eV per cell
Formation enthalpy at 0 K: -0.04 eV per atom
Total energy: -5.147 eV/atom

Cell and atoms, written as CIF:
```
data_DyLuFeAg
_chemical_formula_sum 'Dy4 Lu4 Fe4 Ag4'
_cell_length_a 6.887
_cell_length_b 6.887
_cell_length_c 6.887
_cell_angle_alpha 90.00
_cell_angle_beta 90.00
_cell_angle_gamma 90.00
_space_group_name_H-M_alt 'F -4 3 m'
_space_group_IT_number 216
_space_group_name_Hall 'F -4 2 3'
loop_
_atom_site_label
_atom_site_type_symbol
_atom_site_fract_x
_atom_site_fract_y
_atom_site_fract_z
Dy1 Dy 0.000 0.000 0.000
Lu1 Lu 0.000 0.000 0.500
Fe1 Fe 0.250 0.250 0.250
Ag1 Ag 0.250 0.250 0.750
```

[5]
Below is SmDyFeAg after structural relaxation, with properties calculated at the PBE level.

Computed properties:
Fermi-level density of states: 28.786 states/eV per cell
Formation enthalpy at 0 K: 0.01 eV per atom
Total energy: -5.144 eV/atom

Cell and atoms, written as CIF:
```
data_SmDyFeAg
_chemical_formula_sum 'Sm4 Dy4 Fe4 Ag4'
_cell_length_a 7.113
_cell_length_b 7.113
_cell_length_c 7.113
_cell_angle_alpha 90.00
_cell_angle_beta 90.00
_cell_angle_gamma 90.00
_space_group_name_H-M_alt 'F -4 3 m'
_space_group_IT_number 216
_space_group_name_Hall 'F -4 2 3'
loop_
_atom_site_label
_atom_site_type_symbol
_atom_site_fract_x
_atom_site_fract_y
_atom_site_fract_z
Sm1 Sm 0.000 0.000 0.000
Dy1 Dy 0.000 0.000 0.500
Fe1 Fe 0.250 0.250 0.250
Ag1 Ag 0.250 0.250 0.750
```

[6]
Below is DyYFeAg after structural relaxation, with properties calculated at the PBE level.

Computed properties:
Fermi-level density of states: 30.231 states/eV per cell
Formation enthalpy at 0 K: -0.01 eV per atom
Total energy: -5.610 eV/atom

Cell and atoms, written as CIF:
```
data_DyYFeAg
_chemical_formula_sum 'Dy4 Y4 Fe4 Ag4'
_cell_length_a 7.046
_cell_length_b 7.046
_cell_length_c 7.046
_cell_angle_alpha 90.00
_cell_angle_beta 90.00
_cell_angle_gamma 90.00
_space_group_name_H-M_alt 'F -4 3 m'
_space_group_IT_number 216
_space_group_name_Hall 'F -4 2 3'
loop_
_atom_site_label
_atom_site_type_symbol
_atom_site_fract_x
_atom_site_fract_y
_atom_site_fract_z
Dy1 Dy 0.000 0.000 0.000
Y1 Y 0.000 0.000 0.500
Fe1 Fe 0.250 0.250 0.250
Ag1 Ag 0.250 0.250 0.750
```